(1)
Computed, not measured: a relaxed structure of Dy4CoBr5 at the GGA-PBE level of DFT.

Results
SG: C2/m
VASP energy in eV/atom: -4.7265

a b c (Å): 9.5260 9.5260 8.4120
angles (deg): 102.52 102.52 23.56
Fractional positions:
Dy  0.0007  0.0007  0.2080
Dy  0.3553  0.3553  0.9223
Dy  0.6447  0.6447  0.0777
Dy  0.9993  0.9993  0.7920
Co  0.5000  0.5000  0.0000
Br  0.1677  0.1677  0.3375
Br  0.1771  0.1771  0.8408
Br  0.5000  0.5000  0.5000
Br  0.8229  0.8229  0.1592
Br  0.8323  0.8323  0.6625

=====

(2)
Computed, not measured: a relaxed structure of K2FeCoBr6 at the GGA-PBE level of DFT.

Results
SG: Fm-3m
VASP energy in eV/atom: -3.5758

a b c (Å): 7.3626 7.3626 7.3626
angles (deg): 60.00 60.00 60.00
Fractional positions:
K  0.2500  0.2500  0.2500
K  0.7500  0.7500  0.7500
Fe  0.0000  0.0000  0.0000
Co  0.5000  0.5000  0.5000
Br  0.2502  0.2502  0.7498
Br  0.2502  0.7498  0.2502
Br  0.2502  0.7498  0.7498
Br  0.7498  0.2502  0.2502
Br  0.7498  0.2502  0.7498
Br  0.7498  0.7498  0.2502

=====

(3)
Computed, not measured: a relaxed structure of Rb2FeCoBr6 at the GGA-PBE level of DFT.

Results
SG: Fm-3m
VASP energy in eV/atom: -3.5719

a b c (Å): 7.4101 7.4101 7.4101
angles (deg): 60.00 60.00 60.00
Fractional positions:
Rb  0.2500  0.2500  0.2500
Rb  0.7500  0.7500  0.7500
Fe  0.0000  0.0000  0.0000
Co  0.5000  0.5000  0.5000
Br  0.2499  0.2499  0.7501
Br  0.2499  0.7501  0.2499
Br  0.2499  0.7501  0.7501
Br  0.7501  0.2499  0.2499
Br  0.7501  0.2499  0.7501
Br  0.7501  0.7501  0.2499

=====

(4)
Computed, not measured: a relaxed structure of Y2GaCoBr2 at the GGA-PBE level of DFT.

Results
SG: P3m1
VASP energy in eV/atom: -5.5087

a b c (Å): 4.0537 4.0537 11.1515
angles (deg): 90.00 90.00 120.00
Fractional positions:
Y  0.0000  0.0000  0.0000
Y  0.0000  0.0000  0.3402
Ga  0.6667  0.3333  0.1678
Co  0.3333  0.6667  0.1725
Br  0.3333  0.6667  0.8320
Br  0.6667  0.3333  0.5072

=====

(5)
Computed, not measured: a relaxed structure of CoH8Br6N2 at the GGA-PBE level of DFT.

Results
SG: Fm-3m
VASP energy in eV/atom: -4.0039

a b c (Å): 7.1678 7.1678 7.1678
angles (deg): 60.00 60.00 60.00
Fractional positions:
Co  0.0000  0.0000  0.0000
H  0.0731  0.3090  0.3090
H  0.3090  0.0731  0.3090
H  0.3090  0.3090  0.0731
H  0.3090  0.3090  0.3090
H  0.6910  0.6910  0.6910
H  0.6910  0.6910  0.9269
H  0.6910  0.9269  0.6910
H  0.9269  0.6910  0.6910
Br  0.2376  0.2376  0.7624
Br  0.2376  0.7624  0.2376
Br  0.2376  0.7624  0.7624
Br  0.7624  0.2376  0.2376
Br  0.7624  0.2376  0.7624
Br  0.7624  0.7624  0.2376
N  0.2500  0.2500  0.2500
N  0.7500  0.7500  0.7500

=====

no.,volume (Å³/atom)
1,29.75
2,28.22
3,28.77
4,26.45
5,15.32